# 1
DFT (PBE-GGA) results for a relaxed structure of TbSc2Tl2Cd2.

## Properties
* ΔE_f: -13.9 kJ/mol of atoms
* size of the total moment: 0.085 μB per atom
* calculated total energy: -74.59 eV for the cell shown

Cell and atoms, written as CIF:
```
data_TbSc2Tl2Cd2
_cell_length_a 4.8880
_cell_length_b 4.8880
_cell_length_c 25.1789
_cell_angle_alpha 90.00
_cell_angle_beta 90.00
_cell_angle_gamma 120.00
_space_group_name_H-M_alt 'R -3 m'
_space_group_IT_number 166
_space_group_name_Hall '-R 3 2"'
loop_
_atom_site_label
_atom_site_type_symbol
_atom_site_fract_x
_atom_site_fract_y
_atom_site_fract_z
Tb1 Tb 0.0000 0.0000 0.0000
Sc1 Sc 0.0000 0.0000 0.1376
Tl1 Tl 0.0000 0.0000 0.2678
Cd1 Cd 0.0000 0.0000 0.4385
```

---

# 2
DFT (PBE-GGA) results for a relaxed structure of TbTmScCd.

## Properties
* ΔE_f: -12.4 kJ/mol of atoms
* size of the total moment: 0.000 μB per atom
* energy above the lowest structure with this stoichiometry: 0 meV/atom
* calculated total energy: -16.86 eV for the cell shown

Cell and atoms, written as CIF:
```
data_TbTmScCd
_cell_length_a 3.5020
_cell_length_b 3.5020
_cell_length_c 8.8054
_cell_angle_alpha 90.00
_cell_angle_beta 90.00
_cell_angle_gamma 90.00
_space_group_name_H-M_alt 'P 4 m m'
_space_group_IT_number 99
_space_group_name_Hall 'P 4 -2'
loop_
_atom_site_label
_atom_site_type_symbol
_atom_site_fract_x
_atom_site_fract_y
_atom_site_fract_z
Tb1 Tb 0.0000 0.0000 0.0000
Tm1 Tm 0.0000 0.0000 0.5158
Sc1 Sc 0.5000 0.5000 0.2606
Cd1 Cd 0.5000 0.5000 0.7528
```

---

# 3
DFT (PBE-GGA) results for a relaxed structure of TbTmScCd.

## Properties
* ΔE_f: -3.9 kJ/mol of atoms
* size of the total moment: 0.000 μB per atom
* energy above the lowest structure with this stoichiometry: 88 meV/atom
* calculated total energy: -66.04 eV for the cell shown

Cell and atoms, written as CIF:
```
data_TbTmScCd
_cell_length_a 7.5187
_cell_length_b 7.5187
_cell_length_c 7.5187
_cell_angle_alpha 90.00
_cell_angle_beta 90.00
_cell_angle_gamma 90.00
_space_group_name_H-M_alt 'F -4 3 m'
_space_group_IT_number 216
_space_group_name_Hall 'F -4 2 3'
loop_
_atom_site_label
_atom_site_type_symbol
_atom_site_fract_x
_atom_site_fract_y
_atom_site_fract_z
Tb1 Tb 0.0000 0.0000 0.0000
Tm1 Tm 0.0000 0.0000 0.5000
Sc1 Sc 0.2500 0.2500 0.7500
Cd1 Cd 0.2500 0.2500 0.2500
```

---

# 4
DFT (PBE-GGA) results for a relaxed structure of TbScZnCd.

## Properties
* ΔE_f: -29.0 kJ/mol of atoms
* size of the total moment: 0.000 μB per atom
* energy above the lowest structure with this stoichiometry: 28 meV/atom
* calculated total energy: -57.41 eV for the cell shown

Cell and atoms, written as CIF:
```
data_TbScZnCd
_cell_length_a 7.1402
_cell_length_b 7.1402
_cell_length_c 7.1402
_cell_angle_alpha 90.00
_cell_angle_beta 90.00
_cell_angle_gamma 90.00
_space_group_name_H-M_alt 'F -4 3 m'
_space_group_IT_number 216
_space_group_name_Hall 'F -4 2 3'
loop_
_atom_site_label
_atom_site_type_symbol
_atom_site_fract_x
_atom_site_fract_y
_atom_site_fract_z
Tb1 Tb 0.0000 0.0000 0.0000
Sc1 Sc 0.0000 0.0000 0.5000
Zn1 Zn 0.2500 0.2500 0.7500
Cd1 Cd 0.2500 0.2500 0.2500
```

---

# 5
DFT (PBE-GGA) results for a relaxed structure of TbScZnCd.

## Properties
* ΔE_f: -31.7 kJ/mol of atoms
* size of the total moment: 0.000 μB per atom
* energy above the lowest structure with this stoichiometry: 0 meV/atom
* calculated total energy: -14.47 eV for the cell shown

Cell and atoms, written as CIF:
```
data_TbScZnCd
_cell_length_a 3.4910
_cell_length_b 3.4910
_cell_length_c 7.3793
_cell_angle_alpha 90.00
_cell_angle_beta 90.00
_cell_angle_gamma 90.00
_space_group_name_H-M_alt 'P 4 m m'
_space_group_IT_number 99
_space_group_name_Hall 'P 4 -2'
loop_
_atom_site_label
_atom_site_type_symbol
_atom_site_fract_x
_atom_site_fract_y
_atom_site_fract_z
Tb1 Tb 0.0000 0.0000 0.0000
Sc1 Sc 0.0000 0.0000 0.5413
Zn1 Zn 0.5000 0.5000 0.7450
Cd1 Cd 0.5000 0.5000 0.2928
```

---

# 6
DFT (PBE-GGA) results for a relaxed structure of ScCdTc2.

## Properties
* ΔE_f: 6.9 kJ/mol of atoms
* size of the total moment: 0.000 μB per atom
* calculated total energy: -55.39 eV for the cell shown

Cell and atoms, written as CIF:
```
data_ScCdTc2
_cell_length_a 3.2986
_cell_length_b 4.6398
_cell_length_c 9.1905
_cell_angle_alpha 90.00
_cell_angle_beta 90.00
_cell_angle_gamma 90.00
_space_group_name_H-M_alt 'I m m 2'
_space_group_IT_number 44
_space_group_name_Hall 'I 2 -2'
loop_
_atom_site_label
_atom_site_type_symbol
_atom_site_fract_x
_atom_site_fract_y
_atom_site_fract_z
Sc1 Sc 0.0000 0.0000 0.0000
Cd1 Cd 0.0000 0.5000 0.2230
Tc1 Tc 0.0000 0.0000 0.4612
Tc2 Tc 0.0000 0.5000 0.7580
```